Here is a relaxed BaGeSeBr2 crystal from Alexandria. Energies are from PBE-GGA.

Properties
Distance to the lowest polymorph of the same formula   0.801 eV/atom
Spin magnetization   0.04 μB per atom
Calculated total energy   -2.968 eV/atom
E_form (uncorrected)   -0.294 eV/atom

a = 6.0511 Å, b = 6.0511 Å, c = 6.3713 Å
α = 90.00°, β = 90.00°, γ = 90.00°
Space group P4/mmm (No. 123)
Unique sites:
Ba 0.0000 0.0000 0.0000 x1
Ge 0.5000 0.5000 0.5000 x1
Se 0.0000 0.0000 0.5000 x1
Br 0.0000 0.5000 0.0000 x2